(1)
This record from Alexandria describes a relaxed structure of AcLaNdAu. The functional is PBE.

For the calculated density, the calculation gives 9.4 Mg/m³. For the formation energy, the calculation gives -0.05 eV/atom. The uncorrected energy comes out at -69.2 eV/cell.

It has space group F-43m (No. 216), with a = 7.931 Å, b = 7.931 Å, c = 7.931 Å, α = 90.00°, β = 90.00° and γ = 90.00°. The distinct sites, in fractional coordinates, are Ac at (0.000, 0.000, 0.000), La at (0.250, 0.250, 0.250), Nd at (0.250, 0.250, 0.750) and Au at (0.000, 0.000, 0.500).

---

(2)
This record from Alexandria describes a relaxed structure of GdGaPb. The functional is PBE.

The energy relative to the lowest polymorph listed for this composition is 113 meV/atom. For the calculated density, the calculation gives 9.4 Mg/m³. For the formation energy, the calculation gives -0.30 eV/atom. The uncorrected energy comes out at -43.4 eV/cell.

It has space group I4mm (No. 107), with a = 3.689 Å, b = 3.689 Å, c = 11.312 Å, α = 90.00°, β = 90.00° and γ = 90.00°. The distinct sites, in fractional coordinates, are Gd at (0.000, 0.000, 0.000), Ga at (0.000, 0.000, 0.336) and Pb at (0.000, 0.000, 0.698).

---

(3)
This record from Alexandria describes a relaxed structure of CdAsP2. The functional is PBE.

The energy relative to the lowest polymorph listed for this composition is 462 meV/atom. For the calculated density, the calculation gives 5.7 Mg/m³. For the formation energy, the calculation gives 0.61 eV/atom. The uncorrected energy comes out at -41.8 eV/cell.

It has space group R-3m (No. 166, hexagonal axes), with a = 2.8855 Å, b = 2.8855 Å, c = 30.3403 Å, α = 90.00°, β = 90.00° and γ = 120.00°. The distinct sites, in fractional coordinates, are Cd at (0.0000, 0.0000, 0.0000), As at (0.0000, 0.0000, 0.5000) and P at (0.0000, 0.0000, 0.2440).

---

(4)
This record from Alexandria describes a relaxed structure of Ho4TmMg5. The functional is PBE.

For the calculated density, the calculation gives 5.9 Mg/m³. For the formation energy, the calculation gives -0.07 eV/atom. The uncorrected energy comes out at -31.5 eV/cell.

It has space group P4/mmm (No. 123), with a = 3.776 Å, b = 3.776 Å, c = 18.808 Å, α = 90.00°, β = 90.00° and γ = 90.00°. The distinct sites, in fractional coordinates, are Ho at (0.000, 0.000, 0.100), Ho at (0.000, 0.000, 0.301), Tm at (0.000, 0.000, 0.500), Mg at (0.500, 0.500, 0.000), Mg at (0.500, 0.500, 0.201) and Mg at (0.500, 0.500, 0.401).

---

(5)
This record from Alexandria describes a relaxed structure of Er2Zn2Hg3. The functional is PBE.

For the calculated density, the calculation gives 11.3 Mg/m³. For the formation energy, the calculation gives -0.28 eV/atom. The uncorrected energy comes out at -29.1 eV/cell.

It has space group C2/m (No. 12), with a = 11.267 Å, b = 4.186 Å, c = 6.720 Å, α = 90.00°, β = 98.37° and γ = 90.00°. The distinct sites, in fractional coordinates, are Er at (0.131, 0.000, 0.332), Zn at (0.086, 0.500, 0.637), Hg at (0.000, 0.500, 0.000) and Hg at (0.199, 0.000, 0.842).

---

(6)
This record from Alexandria describes a relaxed structure of UBiTe4. The functional is PBE.

As for the uncorrected formation energy: -0.23 eV per atom. The energy relative to the lowest polymorph listed for this composition is 148 meV/atom. For the calculated density, the calculation gives 7.4 Mg/m³. The uncorrected energy comes out at -58.3 eV/cell.

It has space group P2_1/c (No. 14), with a = 7.609 Å, b = 7.490 Å, c = 7.506 Å, α = 90.00°, β = 91.65° and γ = 90.00°. The distinct sites, in fractional coordinates, are U at (0.000, 0.000, 0.000), Bi at (0.500, 0.000, 0.500), Te at (0.141, 0.157, 0.347) and Te at (0.342, 0.633, 0.362).

---

(7)
This record from Alexandria describes a relaxed structure of BaY2Ag2. The functional is PBE.

The energy relative to the lowest polymorph listed for this composition is 0 meV/atom. For the calculated density, the calculation gives 6.2 Mg/m³. For the formation energy, the calculation gives -0.10 eV/atom. The uncorrected energy comes out at -42.1 eV/cell.

It has space group P4/mbm (No. 127), with a = 8.968 Å, b = 8.968 Å, c = 3.527 Å, α = 90.00°, β = 90.00° and γ = 90.00°. The distinct sites, in fractional coordinates, are Ba at (0.000, 0.000, 0.000), Y at (0.134, 0.366, 0.000) and Ag at (0.158, 0.658, 0.500).

---

(8)
This record from Alexandria describes a relaxed structure of Ho3Cd12Ag. The functional is PBE.

For the calculated density, the calculation gives 8.8 Mg/m³. For the formation energy, the calculation gives -0.20 eV/atom. The uncorrected energy comes out at -30.7 eV/cell.

It has space group P4/mmm (No. 123), with a = 4.542 Å, b = 4.542 Å, c = 17.900 Å, α = 90.00°, β = 90.00° and γ = 90.00°. The distinct sites, in fractional coordinates, are Ho at (0.000, 0.000, 0.000), Ho at (0.000, 0.000, 0.262), Cd at (0.000, 0.500, 0.130), Cd at (0.000, 0.500, 0.387), Cd at (0.500, 0.500, 0.000), Cd at (0.500, 0.500, 0.264), Cd at (0.500, 0.500, 0.500) and Ag at (0.000, 0.000, 0.500).

---

(9)
This record from Alexandria describes a relaxed structure of HoTmMg. The functional is PBE.

The energy relative to the lowest polymorph listed for this composition is 107 meV/atom. For the calculated density, the calculation gives 6.9 Mg/m³. For the formation energy, the calculation gives 0.05 eV/atom. The uncorrected energy comes out at -21.0 eV/cell.

It has space group P1 (No. 1), with a = 3.360 Å, b = 5.223 Å, c = 9.951 Å, α = 90.02°, β = 99.64° and γ = 90.00°. The distinct sites, in fractional coordinates, are Ho at (0.000, 0.000, 0.000), Ho at (0.084, 0.500, 0.171), Tm at (0.423, 0.500, 0.846), Tm at (0.661, 0.000, 0.325), Mg at (0.248, 0.502, 0.504) and Mg at (0.831, 0.001, 0.667).

---

(10)
This record from Alexandria describes a relaxed structure of Sm4AlPd2. The functional is PBE.

For the calculated density, the calculation gives 7.3 Mg/m³. For the formation energy, the calculation gives -0.47 eV/atom. The uncorrected energy comes out at -109.0 eV/cell.

It has space group R-3m (No. 166, hexagonal axes), with a = 5.0031 Å, b = 5.0031 Å, c = 26.5210 Å, α = 90.00°, β = 90.00° and γ = 120.00°. The distinct sites, in fractional coordinates, are Sm at (0.0000, 0.0000, 0.1211), Sm at (0.0000, 0.0000, 0.2922), Al at (0.0000, 0.0000, 0.5000) and Pd at (0.0000, 0.0000, 0.4040).

---

(11)
This record from Alexandria describes a relaxed structure of Cd2AgP. The functional is PBE.

For the calculated density, the calculation gives 5.2 Mg/m³. For the formation energy, the calculation gives 0.28 eV/atom. The uncorrected energy comes out at -36.0 eV/cell.

It has space group I-42d (No. 122), with a = 6.044 Å, b = 6.044 Å, c = 12.786 Å, α = 90.00°, β = 90.00° and γ = 90.00°. The distinct sites, in fractional coordinates, are Cd at (0.200, 0.250, 0.125), Ag at (0.000, 0.000, 0.500) and P at (0.000, 0.000, 0.000).

---

(12)
This record from Alexandria describes a relaxed structure of NaCdAu2. The functional is PBE.

For the calculated density, the calculation gives 10.2 Mg/m³. For the formation energy, the calculation gives -0.03 eV/atom. The uncorrected energy comes out at -35.6 eV/cell.

It has space group I-42d (No. 122), with a = 4.141 Å, b = 4.141 Å, c = 20.045 Å, α = 90.00°, β = 90.00° and γ = 90.00°. The distinct sites, in fractional coordinates, are Na at (0.000, 0.000, 0.000), Cd at (0.000, 0.000, 0.500) and Au at (0.245, 0.250, 0.625).

---

Number 1: spin magnetization 0.0 μB/cell. Number 2: spin magnetization 15.3 μB/cell. Number 3: spin magnetization 0.0 μB/cell. Number 4: spin magnetization 0.0 μB/cell. Number 5: spin magnetization 0.0 μB/cell. Number 6: spin magnetization 2.1 μB/cell. Number 7: spin magnetization 0.0 μB/cell. Number 8: spin magnetization 0.0 μB/cell. Number 9: spin magnetization 0.0 μB/cell. Number 10: spin magnetization 0.0 μB/cell. Number 11: spin magnetization 0.0 μB/cell. Number 12: spin magnetization 0.0 μB/cell.